# 1
A relaxed Sm2Mg3Ag4 crystal. Source: Alexandria, functional GGA-PBE.

## Properties
Density, g cm⁻³: 6.602
Calculated formation energy, kJ/mol of formula units: -204

a = 4.9350 Å, b = 4.9439 Å, c = 9.5007 Å
α = 85.89°, β = 86.06°, γ = 61.23°
Closest atoms and distances in Å follow each position.
Space group P-1 (No. 2)
Inequivalent atoms, fractional coordinates:
Sm: 0.1492 0.1488 0.2225 x2  7 Ag 3.02-3.17, 1 Mg 3.32
Mg: 0.1939 0.1946 0.5833 x2  5 Ag 2.90-3.04, 2 Mg 3.07-3.09
Mg: 0.5000 0.5000 0.0000 x1  6 Ag 2.96-3.04
Ag: 0.1772 0.1774 0.9034 x2  4 Mg 2.96-3.04, 4 Sm 3.02-3.11
Ag: 0.4699 0.4682 0.3584 x2  1 Ag 2.78, 4 Mg 2.90-3.04, 1 Sm 3.11



# 2
A relaxed SmMg5Ag4 crystal. Source: Alexandria, functional GGA-PBE.

## Properties
Density, g cm⁻³: 5.696
Calculated formation energy, kJ/mol of formula units: -191

a = 3.3696 Å, b = 3.3696 Å, c = 18.0600 Å
α = 90.00°, β = 90.00°, γ = 90.00°
Closest atoms and distances in Å follow each position.
Space group P4/mmm (No. 123)
Inequivalent atoms, fractional coordinates:
Sm: 0.0000 0.0000 0.0000 x1  4 Sm 3.37, 8 Mg 3.43
Mg: 0.5000 0.5000 0.1367 x2  4 Ag 2.88
Mg: 0.5000 0.5000 0.3179 x2  8 Ag 2.90
Mg: 0.5000 0.5000 0.5000 x1  8 Ag 2.89
Ag: 0.0000 0.0000 0.2264 x2  8 Mg 2.88-2.90
Ag: 0.0000 0.0000 0.4094 x2  8 Mg 2.89-2.90



# 3
A relaxed Sm3MgAg4 crystal. Source: Alexandria, functional GGA-PBE.

## Properties
Density, g cm⁻³: 7.835
Calculated formation energy, kJ/mol of formula units: -195

a = 5.1314 Å, b = 5.1314 Å, c = 7.2993 Å
α = 90.00°, β = 90.00°, γ = 90.00°
Closest atoms and distances in Å follow each position.
Space group P4/mmm (No. 123)
Inequivalent atoms, fractional coordinates:
Sm: 0.0000 0.0000 0.0000 x1  8 Ag 3.19
Sm: 0.0000 0.0000 0.5000 x1  8 Ag 3.11
Sm: 0.5000 0.5000 0.0000 x1  8 Ag 3.19
Mg: 0.5000 0.5000 0.5000 x1  8 Ag 3.11
Ag: 0.0000 0.5000 0.2599 x4  2 Mg 3.11, 6 Sm 3.11-3.19